{"formula": "Nb2GaReAs", "functional": "meta-GGA SCAN", "state": "single point on PBEsol structure", "ef_ev_per_atom": 0.882, "dos_ef_per_ev_fu": 3.23, "final_energy_ev_per_atom": -33.90, "lattice": [[-0.507, -1.620, -4.365], [2.964, -3.661, 1.015], [-3.764, -2.653, 1.421]], "species": ["As", "Re", "Nb", "Nb", "Ga"], "frac_coords": [[0.500, 0.500, 0.500], [0.000, 0.000, 0.000], [0.000, 0.500, 0.000], [0.000, 0.000, 0.500], [0.500, 0.000, 0.000]]}

---

{"formula": "GaAsP2S", "functional": "meta-GGA SCAN", "state": "single point on PBEsol structure", "dos_ef_per_ev_fu": 4.77, "formation_energy_uncorrected_ev_per_fu": 4.38, "final_energy_ev_per_atom": -12.52, "lattice": [[4.708, 0.000, 0.000], [0.000, 4.708, 0.000], [0.000, 0.000, 4.681]], "species": ["As", "P", "P", "Ga", "S"], "frac_coords": [[0.000, 0.000, 0.000], [0.500, 0.000, 0.000], [0.000, 0.500, 0.000], [0.500, 0.500, 0.500], [0.000, 0.000, 0.500]]}

---

{"formula": "GaAs2PSe", "functional": "meta-GGA SCAN", "state": "single point on PBEsol structure", "dos_ef_per_ev_fu": 3.99, "formation_energy_uncorrected_ev_per_fu": 4.80, "final_energy_ev_per_atom": -16.48, "lattice": [[4.494, 0.000, 0.000], [0.000, 4.871, 0.000], [0.000, 0.000, 4.871]], "species": ["P", "Ga", "Se", "As", "As"], "frac_coords": [[0.500, 0.000, 0.000], [0.000, 0.000, 0.000], [0.500, 0.500, 0.500], [0.000, 0.500, 0.000], [0.000, 0.000, 0.500]]}

---

| no. | calculated volume (A^3/atom) |
| --- | --- |
| 1 | 21.749 |
| 2 | 20.756 |
| 3 | 21.330 |